No. 1
VASP calculation (PBE-GGA) on InMo2Pb2 after structural relaxation.

a = 7.1252 Å, b = 7.1252 Å, c = 4.3800 Å
α = 90.00°, β = 90.00°, γ = 90.00°
Closest atoms and distances in Å follow each position.
Element x y z (fractional)
1 In 0.0000 0.0000 0.0000  4 Mo 2.83
2 In 0.5000 0.5000 0.0000  4 Mo 2.83
3 Mo 0.1212 0.3788 0.0000  1 Mo 2.44
4 Mo 0.3788 0.8788 0.0000  1 Mo 2.44
5 Mo 0.6212 0.1212 0.0000  1 Mo 2.44
6 Mo 0.8788 0.6212 0.0000  1 Mo 2.44
7 Pb 0.1711 0.6711 0.5000  6 Mo 3.03-3.04
8 Pb 0.3289 0.1711 0.5000  6 Mo 3.03-3.04
9 Pb 0.6711 0.8289 0.5000  6 Mo 3.03-3.04
10 Pb 0.8289 0.3289 0.5000  6 Mo 3.03-3.04

Output
Volume = 22.2 Å³/atom
Symmetry = No. 127
Total energy = -5.82 eV per atom
DFT formation energy = 2.70 eV per formula unit



No. 2
VASP calculation (PBE-GGA) on InMo2Pb after structural relaxation.

a = 3.4283 Å, b = 4.9460 Å, c = 9.1904 Å
α = 90.00°, β = 90.00°, γ = 90.00°
Closest atoms and distances in Å follow each position.
Element x y z (fractional)
1 In 0.0000 0.0000 0.0000  4 Mo 2.88, 4 Pb 3.01
2 In 0.5000 0.5000 0.5000  4 Mo 2.88, 4 Pb 3.01
3 Mo 0.0000 0.5000 0.2484  2 Pb 2.86, 2 In 2.88, 4 Mo 3.01
4 Mo 0.0000 0.5000 0.7516  2 Pb 2.86, 2 In 2.88, 4 Mo 3.01
5 Mo 0.5000 0.0000 0.2516  2 Pb 2.86, 2 In 2.88, 4 Mo 3.01
6 Mo 0.5000 0.0000 0.7484  2 Pb 2.86, 2 In 2.88, 4 Mo 3.01
7 Pb 0.0000 0.0000 0.5000  4 Mo 2.86, 4 In 3.01
8 Pb 0.5000 0.5000 0.0000  4 Mo 2.86, 4 In 3.01

Output
Volume = 19.5 Å³/atom
Symmetry = No. 71
Total energy = -6.31 eV per atom
DFT formation energy = 2.86 eV per formula unit



No. 3
VASP calculation (PBE-GGA) on InMo2Pb after structural relaxation.

a = 3.2548 Å, b = 3.2548 Å, c = 8.1094 Å
α = 90.00°, β = 90.00°, γ = 90.00°
Closest atoms and distances in Å follow each position.
Element x y z (fractional)
1 In 0.0000 0.0000 0.0000  5 Mo 2.97-3.16, 4 In 3.25
2 Mo 0.0000 0.0000 0.3898  4 Mo 2.64
3 Mo 0.5000 0.5000 0.2306  4 Mo 2.64
4 Pb 0.5000 0.5000 0.6472  5 Mo 3.11-3.38, 4 Pb 3.25

Output
Volume = 21.5 Å³/atom
Symmetry = No. 99
Total energy = -6.72 eV per atom
DFT formation energy = 1.21 eV per formula unit



No. 4
VASP calculation (PBE-GGA) on InMo2Pb after structural relaxation.

a = 3.1612 Å, b = 4.2745 Å, c = 6.2224 Å
α = 90.00°, β = 90.00°, γ = 90.00°
Closest atoms and distances in Å follow each position.
Element x y z (fractional)
1 In 0.0000 0.0000 0.0000  8 Mo 2.91, 2 Pb 3.11, 2 In 3.16
2 Mo 0.5000 0.5000 0.1892  1 Mo 2.35
3 Mo 0.5000 0.5000 0.8108  1 Mo 2.35
4 Pb 0.0000 0.0000 0.5000  2 In 3.11, 2 Pb 3.16, 8 Mo 3.29

Output
Volume = 21.0 Å³/atom
Symmetry = No. 47
Total energy = -6.35 eV per atom
DFT formation energy = 2.70 eV per formula unit



| no. | total magnetic moment (μB/cell) |
| --- | --- |
| 1 | 0.0 |
| 2 | 0.0 |
| 3 | 0.0 |
| 4 | 0.0 |